PmPr3Al3 | Alexandria | GGA-PBE | relaxed; DFT formation energy = -232 meV/atom
1.0
5.299 -5.360 0.000
5.299 5.360 0.000
0.000 0.000 7.122
Pm Pr Al
2 6 6
Direct
0.244 0.756 0.000
0.756 0.244 0.000
0.234 0.234 0.000
0.249 0.249 0.500
0.250 0.750 0.500
0.750 0.250 0.500
0.751 0.751 0.500
0.766 0.766 0.000
0.000 0.500 0.242
0.000 0.500 0.758
0.500 0.000 0.242
0.500 0.000 0.758
0.500 0.500 0.226
0.500 0.500 0.774

=====

MgCoAs2 | Alexandria | GGA-PBE | relaxed; DFT formation energy = -38 meV/atom
1.0
-2.933 2.933 5.169
2.933 -2.933 5.169
2.933 2.933 -5.169
Mg Co As
2 2 4
Direct
0.000 0.000 0.000
0.750 0.250 0.500
0.250 0.750 0.500
0.500 0.500 0.000
0.189 0.625 0.064
0.375 0.439 0.564
0.561 0.125 0.936
0.875 0.811 0.436

=====

AlMoIr2 | Alexandria | GGA-PBE | relaxed; DFT formation energy = -308 meV/atom
1.0
2.874 0.000 0.000
0.000 2.874 0.000
0.000 0.000 7.113
Al Mo Ir
1 1 2
Direct
0.000 0.000 0.000
0.500 0.500 0.739
0.000 0.000 0.492
0.500 0.500 0.211

=====

CsK2Na2 | Alexandria | GGA-PBE | relaxed; DFT formation energy = 34 meV/atom
1.0
5.762 -5.052 0.000
5.762 5.052 0.000
-4.221 0.000 5.563
Cs K Na
1 2 2
Direct
0.000 0.000 0.000
0.294 0.706 0.500
0.706 0.294 0.500
0.312 0.312 0.811
0.688 0.688 0.189

=====

BaGa3Os | Alexandria | GGA-PBE | relaxed; DFT formation energy = -180 meV/atom
1.0
-2.748 6.661 3.135
2.748 -6.661 3.135
2.748 6.661 -3.135
Ba Ga Os
2 6 2
Direct
0.000 0.000 0.000
0.500 0.000 0.500
0.172 0.526 0.646
0.346 0.096 0.250
0.380 0.526 0.854
0.620 0.474 0.146
0.654 0.904 0.750
0.828 0.474 0.354
0.000 0.000 0.500
0.000 0.500 0.000

=====

TbMgAs2 | Alexandria | GGA-PBE | relaxed; DFT formation energy = -856 meV/atom
1.0
2.075 1.198 6.308
-2.075 1.198 6.308
0.000 -2.396 6.308
Tb Mg As
1 1 2
Direct
0.000 0.000 0.000
0.174 0.174 0.174
0.422 0.422 0.422
0.580 0.580 0.580

=====

NdDySi | Alexandria | GGA-PBE | relaxed; energy relative to the elements, uncorrected = -0.308 eV per atom
1.0
4.696 0.000 0.000
-2.348 4.067 0.000
0.000 0.000 4.253
Nd Dy Si
1 1 1
Direct
0.000 0.000 0.000
0.667 0.333 0.468
0.333 0.667 0.642

=====

CrInSbTe2 | Alexandria | GGA-PBE | relaxed; energy relative to the elements, uncorrected = 0.238 eV per atom
1.0
5.378 0.000 0.000
0.000 5.378 0.000
0.000 0.000 5.114
Cr In Sb Te
1 1 1 2
Direct
0.000 0.000 0.000
0.500 0.500 0.500
0.000 0.000 0.500
0.000 0.500 0.000
0.500 0.000 0.000

=====

no.,energy (eV per atom),Fermi-level density of states (states/eV per cell)
1,-4.56,11.31
2,-4.54,7.03
3,-8.38,2.77
4,-1.10,3.65
5,-4.63,7.94
6,-4.74,1.49
7,-5.24,1.48
8,-4.32,4.93